(1)
A plane-wave DFT calculation with SCAN was carried out for a PBEsol-optimized structure of TlPtPb2.

abc: 6.762 3.892 8.397
angles: 90.00 105.04 90.00
Space group C2/m (No. 12)
Inequivalent atoms, fractional coordinates:
Tl 0.000 0.000 0.000 [2 per cell]
Pt 0.000 0.500 0.500 [2 per cell]
Pb 0.232 0.000 0.699 [4 per cell]

The energy relative to the lowest polymorph listed for this composition comes out at 0.0 meV per atom. For the calculated formation energy, the calculation gives -119 meV/atom. The calculation puts the density of states at the Fermi level at 0.38 states/eV per atom. The value obtained for the volume is 213 Å³/cell. The calculation puts the calculated density at 12666 kg/m3.

=====

(2)
A plane-wave DFT calculation with SCAN was carried out for a PBEsol-optimized structure of TlPtPb.

abc: 6.624 6.624 6.624
angles: 90.00 90.00 90.00
Space group F-43m (No. 216)
Inequivalent atoms, fractional coordinates:
Tl 0.000 0.000 0.000 [4 per cell]
Pt 0.250 0.250 0.750 [4 per cell]
Pb 0.000 0.000 0.500 [4 per cell]

For the calculated formation energy, the calculation gives -155 meV/atom. The calculation puts the density of states at the Fermi level at 0.40 states/eV per atom. The value obtained for the volume is 291 Å³/cell. The calculation puts the calculated density at 13863 kg/m3.

=====

(3)
A plane-wave DFT calculation with SCAN was carried out for a PBEsol-optimized structure of TlPtPb2.

abc: 3.429 4.631 12.712
angles: 90.00 90.00 90.00
Space group Immm (No. 71)
Inequivalent atoms, fractional coordinates:
Tl 0.000 0.000 0.000 [2 per cell]
Pt 0.000 0.000 0.500 [2 per cell]
Pb 0.000 0.500 0.185 [4 per cell]

The energy relative to the lowest polymorph listed for this composition comes out at 132.6 meV per atom. For the calculated formation energy, the calculation gives 14 meV/atom. The calculation puts the density of states at the Fermi level at 0.49 states/eV per atom. The value obtained for the volume is 202 Å³/cell. The calculation puts the calculated density at 13391 kg/m3.